Entry 1:
This record from Alexandria via LeMat-Bulk describes crystalline BaTb2Cu at its relaxed geometry. The functional is PBE.

Summary:
VASP energy = -3.595 eV/atom
energy of formation = 224.6 meV/atom

a b c (Å): 3.8046 3.8046 11.1694
angles (deg): 80.19 80.19 60.00
With the nearest neighbours (Å) after each atom.
Element x y z (fractional)
1 Tb 0.1127 0.1127 0.6620  3 Cu 2.82
2 Tb 0.8873 0.8873 0.3380  3 Cu 2.82
3 Cu 0.5000 0.5000 0.5000  6 Tb 2.82
4 Ba 0.0000 0.0000 0.0000  2 Tb 3.70, 6 Ba 3.80

***

Entry 2:
This record from Alexandria via LeMat-Bulk describes crystalline CaZr2Cl at its relaxed geometry. The functional is PBE.

Summary:
VASP energy = -5.292 eV/atom
polymorph energy (0 for the lowest one) = 9.749 kcal/mol of atoms
formation energy without anion corrections = -0.06 eV/atom

a b c (Å): 7.0008 3.9979 3.9979
angles (deg): 90.00 90.00 90.00
With the nearest neighbours (Å) after each atom.
Element x y z (fractional)
1 Zr 0.0000 0.0000 0.0000  4 Zr 2.83
2 Zr 0.0000 0.5000 0.5000  4 Zr 2.83
3 Ca 0.5000 0.5000 0.0000  4 Cl 2.83
4 Cl 0.5000 0.0000 0.5000  4 Ca 2.83

***

Question: What is the VASP energy in the second record?
Answer: -5.292 eV/atom

***

Repeat the second record exactly.
This record from Alexandria via LeMat-Bulk describes crystalline CaZr2Cl at its relaxed geometry. The functional is PBE.

Summary:
VASP energy = -5.292 eV/atom
polymorph energy (0 for the lowest one) = 9.749 kcal/mol of atoms
formation energy without anion corrections = -0.06 eV/atom

a b c (Å): 7.0008 3.9979 3.9979
angles (deg): 90.00 90.00 90.00
With the nearest neighbours (Å) after each atom.
Element x y z (fractional)
1 Zr 0.0000 0.0000 0.0000  4 Zr 2.83
2 Zr 0.0000 0.5000 0.5000  4 Zr 2.83
3 Ca 0.5000 0.5000 0.0000  4 Cl 2.83
4 Cl 0.5000 0.0000 0.5000  4 Ca 2.83

***

Question: VASP energy of number 2 (CaZr2Cl)?
Answer: -5.292 eV/atom